(1)
Tb7PrTh3: optimized geometry, PBE.

a b c (Å): 7.1015 7.1015 8.6195
angles (deg): 90.00 90.00 120.00
With the nearest neighbours (Å) after each atom.
Space group P3m1 (No. 156)
One atom of each set of equivalent atoms:
Tb (0.0000, 0.0000, 0.0000) x1  3 Th 3.47, 9 Tb 3.55-3.58
Tb (0.1650, 0.3301, 0.6580) x3  2 Th 3.51, 7 Tb 3.52-3.59, 2 Pr 3.55
Tb (0.5009, 0.0018, 0.9991) x3  2 Th 3.49, 8 Tb 3.53-3.59, 1 Pr 3.60
Pr (0.6667, 0.3333, 0.6545) x1  3 Th 3.50, 9 Tb 3.55-3.60
Th (0.3312, 0.1656, 0.3266) x3  5 Tb 3.47-3.51, 1 Pr 3.50, 4 Th 3.53-3.57

Summary:
For the formation energy, the calculation gives 0.218 eV per atom.

---

(2)
Sc2SiSe: optimized geometry, PBE.

a b c (Å): 3.3858 3.3858 25.5575
angles (deg): 90.00 90.00 120.00
With the nearest neighbours (Å) after each atom.
Space group R3m (No. 160, hexagonal axes)
One atom of each set of equivalent atoms:
Sc (0.0000, 0.0000, 0.0000) x3  3 Se 2.73
Sc (0.0000, 0.0000, 0.2298) x3  3 Si 2.85
Si (0.0000, 0.0000, 0.4820) x3  3 Se 2.72, 3 Sc 2.85
Se (0.0000, 0.0000, 0.7413) x3  3 Si 2.72, 3 Sc 2.73

Summary:
For the formation energy from raw total energies, the calculation gives -88 kJ/mol of formula units.

---

(3)
LiCuGe: optimized geometry, PBE.

a b c (Å): 3.8723 3.8723 6.2524
angles (deg): 90.00 90.00 90.00
With the nearest neighbours (Å) after each atom.
Space group P4/nmm (No. 129, origin choice 2)
One atom of each set of equivalent atoms:
Li (0.2500, 0.2500, 0.1827) x2  5 Ge 2.71-2.77, 4 Cu 2.77
Cu (0.2500, 0.7500, 0.5000) x2  4 Ge 2.49, 4 Cu 2.74, 4 Li 2.77
Ge (0.2500, 0.2500, 0.7498) x2  4 Cu 2.49, 5 Li 2.71-2.77

Summary:
For the formation energy, the calculation gives -0.148 eV per atom.

---

(4)
InFePb2: optimized geometry, PBE.

a b c (Å): 4.4808 4.4808 10.0032
angles (deg): 90.00 90.00 90.00
With the nearest neighbours (Å) after each atom.
Space group I-4m2 (No. 119)
One atom of each set of equivalent atoms:
In (0.0000, 0.0000, 0.0000) x2  8 Pb 3.17-3.36, 4 Fe 3.36
Fe (0.0000, 0.5000, 0.2500) x2  8 Pb 3.17-3.36, 4 In 3.36
Pb (0.0000, 0.0000, 0.5000) x2  4 In 3.17, 4 Pb 3.36, 4 Fe 3.36
Pb (0.0000, 0.5000, 0.7500) x2  4 Fe 3.17, 4 In 3.36, 4 Pb 3.36

Summary:
For the formation energy, the calculation gives 0.507 eV per atom.